Er3PaBi4 | PBE | optimized geometry

a = 6.3051 Å, b = 6.3051 Å, c = 12.5837 Å
α = 90.00°, β = 90.00°, γ = 90.00°
Space group I4/mmm (No. 139)
One atom of each set of equivalent atoms:
Er1 0.0000 0.0000 0.0000
Er2 0.0000 0.5000 0.2500
Pa1 0.0000 0.0000 0.5000
Bi1 0.0000 0.0000 0.2500
Bi2 0.0000 0.5000 0.0000

Summary:
magnetization = 2.0 μB per cell
theoretical density = 10.414 Mg/m³
energy of formation from the pure elements = -4.9 eV per formula unit
crystal system = tetragonal